No. 1
Material: BaYTa
Method: DFT, PBEsol
State: relaxed

Geometry as POSCAR:
```
BaYTa
1.0
-2.157 -0.490 2.357
1.996 -2.141 1.371
3.573 7.432 2.605
Ba Ta Y
1 1 1
direct
0.986 0.986 0.971
0.320 0.320 0.639
0.695 0.695 0.389
```

## Properties
- Fermi-level density of states: 3.1 states/eV per cell
- Density: 7.76 g/cm³
- Space group: Fmm2 (42)
- Formation energy from the elements: 0.64 eV/atom

---

No. 2
Material: BaTa2Zn
Method: DFT, PBEsol
State: relaxed

Geometry as POSCAR:
```
BaTa2Zn
1.0
4.217 0.000 0.000
0.000 4.217 0.000
-2.109 -2.109 4.743
Ba Ta Zn
1 2 1
direct
0.000 0.000 0.000
0.750 0.250 0.500
0.250 0.750 0.500
0.500 0.500 0.000
```

## Properties
- Fermi-level density of states: 4.6 states/eV per cell
- Density: 11.12 g/cm³
- Space group: I4/mmm (139)
- Formation energy from the elements: 1.08 eV/atom

---

No. 3
Material: BaTa2Zn
Method: DFT, PBEsol
State: relaxed

Geometry as POSCAR:
```
BaTa2Zn
1.0
-0.016 2.124 2.178
-0.705 -3.697 3.602
5.240 -0.493 0.520
Ba Ta Zn
1 2 1
direct
0.000 0.500 0.500
0.000 0.000 0.000
0.500 0.500 0.000
0.500 0.000 0.500
```

## Properties
- Fermi-level density of states: 5.4 states/eV per cell
- Density: 11.19 g/cm³
- Space group: Pmmm (47)
- Formation energy from the elements: 0.91 eV/atom

---

No. 4
Material: BaTaZn2
Method: DFT, PBEsol
State: relaxed

Geometry as POSCAR:
```
BaTaZn2
1.0
-0.293 1.083 3.108
-4.278 -3.121 0.683
5.270 -2.725 -0.309
Ba Ta Zn
1 1 2
direct
0.500 0.000 0.000
0.000 0.500 0.000
0.713 0.713 0.427
0.287 0.287 0.573
```

## Properties
- Fermi-level density of states: 2.9 states/eV per cell
- Density: 8.38 g/cm³
- Space group: Immm (71)
- Formation energy from the elements: 0.70 eV/atom

---

No. 5
Material: BaTa3Zn
Method: DFT, PBEsol
State: relaxed

Geometry as POSCAR:
```
BaTa3Zn
1.0
5.003 0.000 0.000
0.000 5.003 0.000
0.000 0.000 5.003
Zn Ba Ta
1 1 3
direct
0.500 0.500 0.500
0.000 0.000 0.000
0.000 0.500 0.000
0.000 0.000 0.500
0.500 0.000 0.000
```

## Properties
- Fermi-level density of states: 3.3 states/eV per cell
- Density: 9.89 g/cm³
- Space group: Pm-3m (221)
- Formation energy from the elements: 3.02 eV/atom

---

No. 6
Material: BaTa2Zn
Method: DFT, PBEsol
State: relaxed

Geometry as POSCAR:
```
BaTa2Zn
1.0
2.845 0.000 0.000
0.000 5.924 0.000
0.000 -2.962 5.064
Ba Ta Zn
1 2 1
direct
0.500 0.500 0.000
0.000 0.500 0.500
0.000 0.000 0.500
0.500 0.000 0.000
```

## Properties
- Fermi-level density of states: 4.2 states/eV per cell
- Density: 10.98 g/cm³
- Space group: Cmmm (65)
- Formation energy from the elements: 1.13 eV/atom

---

No. 7
Material: BaZr2Ta
Method: DFT, PBEsol
State: relaxed

Geometry as POSCAR:
```
BaZr2Ta
1.0
3.344 0.000 0.000
0.000 3.344 0.000
0.000 0.000 9.556
Ba Ta Zr
1 1 2
direct
0.500 0.500 0.000
0.500 0.500 0.500
0.000 0.000 0.675
0.000 0.000 0.325
```

## Properties
- Fermi-level density of states: 4.5 states/eV per cell
- Density: 7.78 g/cm³
- Space group: P4/mmm (123)
- Formation energy from the elements: 0.34 eV/atom

---

No. 8
Material: Ba2ZrTa
Method: DFT, PBEsol
State: relaxed

Geometry as POSCAR:
```
Ba2ZrTa
1.0
-0.058 4.133 1.670
-3.816 -0.909 2.118
4.866 -3.394 2.617
Ba Ta Zr
2 1 1
direct
0.750 0.250 0.500
0.250 0.750 0.500
0.500 0.500 0.000
0.000 0.000 0.000
```

## Properties
- Fermi-level density of states: 6.2 states/eV per cell
- Density: 8.06 g/cm³
- Space group: I4/mmm (139)
- Formation energy from the elements: 1.06 eV/atom

---

No. 9
Material: Ba2ZrTa
Method: DFT, PBEsol
State: relaxed

Geometry as POSCAR:
```
Ba2ZrTa
1.0
-1.210 -3.246 0.328
1.933 -2.693 -1.059
5.048 -2.701 10.359
Ba Ta Zr
2 1 1
direct
0.988 0.988 0.035
0.766 0.766 0.703
0.511 0.511 0.467
0.235 0.235 0.295
```

## Properties
- Fermi-level density of states: 6.2 states/eV per cell
- Density: 7.42 g/cm³
- Space group: R3m (160)
- Formation energy from the elements: 0.74 eV/atom

---

No. 10
Material: BaZr2Ta
Method: DFT, PBEsol
State: relaxed

Geometry as POSCAR:
```
BaZr2Ta
1.0
3.335 0.000 0.000
0.000 4.617 0.000
-1.667 -2.308 7.635
Ba Ta Zr
1 1 2
direct
0.558 0.558 0.116
0.263 0.763 0.526
0.905 0.905 0.810
0.774 0.274 0.547
```

## Properties
- Fermi-level density of states: 5.2 states/eV per cell
- Density: 7.07 g/cm³
- Space group: Imm2 (44)
- Formation energy from the elements: 0.70 eV/atom

---

No. 11
Material: Ba2Zr2Ta
Method: DFT, PBEsol
State: relaxed

Geometry as POSCAR:
```
Ba2Zr2Ta
1.0
4.218 0.000 0.000
0.000 4.218 0.000
-2.109 -2.109 8.060
Ba Zr Ta
2 2 1
direct
0.250 0.750 0.500
0.750 0.250 0.500
0.423 0.423 0.847
0.577 0.577 0.153
0.000 0.000 0.000
```

## Properties
- Fermi-level density of states: 7.6 states/eV per cell
- Density: 7.39 g/cm³
- Space group: I4/mmm (139)
- Formation energy from the elements: 1.27 eV/atom

---

No. 12
Material: BaZr2Ta
Method: DFT, PBEsol
State: relaxed

Geometry as POSCAR:
```
BaZr2Ta
1.0
-2.273 -1.665 1.301
3.175 1.346 3.570
-3.938 5.958 0.746
Ba Ta Zr
1 1 2
direct
0.500 0.000 0.000
0.000 0.000 0.500
0.738 0.475 0.680
0.262 0.525 0.320
```

## Properties
- Fermi-level density of states: 4.8 states/eV per cell
- Density: 7.92 g/cm³
- Space group: C2/m (12)
- Formation energy from the elements: 0.55 eV/atom

---

No. 13
Material: BaZrTa2
Method: DFT, PBEsol
State: relaxed

Geometry as POSCAR:
```
BaZrTa2
1.0
-0.370 -0.112 3.093
-0.125 -2.754 1.456
10.713 -0.758 2.826
Ba Ta Zr
1 2 1
direct
0.000 0.000 0.000
0.240 0.240 0.281
0.760 0.760 0.719
0.500 0.500 0.500
```

## Properties
- Fermi-level density of states: 5.1 states/eV per cell
- Density: 10.63 g/cm³
- Space group: R-3m (166)
- Formation energy from the elements: 0.78 eV/atom

---

No. 14
Material: BaTb2Te4
Method: DFT, PBEsol
State: relaxed

Geometry as POSCAR:
```
BaTb2Te4
1.0
4.426 0.000 0.000
0.000 13.566 0.000
0.000 0.000 16.099
Ba Tb Te
4 8 16
direct
0.750 0.261 0.170
0.250 0.239 0.670
0.250 0.739 0.830
0.750 0.761 0.330
0.750 0.420 0.904
0.250 0.080 0.404
0.250 0.580 0.096
0.750 0.920 0.596
0.750 0.939 0.108
0.250 0.561 0.608
0.250 0.061 0.892
0.750 0.439 0.392
0.750 0.409 0.578
0.250 0.091 0.078
0.250 0.591 0.422
0.750 0.909 0.922
0.750 0.206 0.838
0.250 0.294 0.338
0.250 0.794 0.162
0.750 0.706 0.662
0.750 0.130 0.528
0.250 0.370 0.028
0.250 0.870 0.472
0.750 0.630 0.972
0.750 0.026 0.283
0.250 0.474 0.783
0.250 0.974 0.717
0.750 0.526 0.217
```

## Properties
- Formation energy without anion corrections: -1.526 eV/atom
- Density: 6.63 g/cm³
- Space group: Pnma (62)

---

No. 15
Material: BaTc3
Method: DFT, PBEsol
State: relaxed

Geometry as POSCAR:
```
BaTc3
1.0
5.013 0.000 0.000
0.000 5.013 0.000
0.000 0.000 5.013
Ba Tc
1 3
direct
0.000 0.000 0.000
0.500 0.000 0.000
0.000 0.500 0.000
0.000 0.000 0.500
```

## Properties
- Fermi-level density of states: 6.7 states/eV per cell
- Density: 5.69 g/cm³
- Space group: Pm-3m (221)
- Formation energy from the elements: 4.23 eV/atom

---

No. 16
Material: BaTc
Method: DFT, PBEsol
State: relaxed

Geometry as POSCAR:
```
BaTc
1.0
-0.340 2.142 -2.672
0.146 -2.674 -2.162
-9.810 -0.936 0.498
Ba Tc
2 2
direct
0.500 0.000 0.204
0.000 0.500 0.796
0.500 0.000 0.525
0.000 0.500 0.475
```

## Properties
- Fermi-level density of states: 4.2 states/eV per cell
- Density: 6.69 g/cm³
- Space group: P4/nmm (129)
- Formation energy from the elements: 0.59 eV/atom

---

No. 17
Material: Ba2Tc
Method: DFT, PBEsol
State: relaxed

Geometry as POSCAR:
```
Ba2Tc
1.0
4.876 0.000 0.000
2.438 6.322 0.000
2.438 0.000 6.322
Ba Tc
4 2
direct
0.840 0.500 0.821
0.160 0.500 0.179
0.340 0.821 0.500
0.660 0.179 0.500
0.250 0.000 0.000
0.750 0.000 0.000
```

## Properties
- Fermi-level density of states: 9.1 states/eV per cell
- Density: 6.35 g/cm³
- Space group: I4/mcm (140)
- Formation energy from the elements: 0.75 eV/atom

---

No. 18
Material: BaTc
Method: DFT, PBEsol
State: relaxed

Geometry as POSCAR:
```
BaTc
1.0
-2.699 1.733 1.000
-2.246 1.065 -2.261
-4.182 -3.313 0.097
Ba Tc
1 1
direct
0.000 0.000 0.000
0.500 0.500 0.500
```

## Properties
- Fermi-level density of states: 2.6 states/eV per cell
- Density: 8.04 g/cm³
- Space group: R-3m (166)
- Formation energy from the elements: 1.59 eV/atom

---

No. 19
Material: Ba2Tc
Method: DFT, PBEsol
State: relaxed

Geometry as POSCAR:
```
Ba2Tc
1.0
-0.066 -0.718 -3.572
2.922 -2.144 0.377
-5.822 -4.338 2.839
Ba Tc
2 1
direct
0.371 0.371 0.742
0.629 0.629 0.258
0.000 0.000 0.000
```

## Properties
- Fermi-level density of states: 3.9 states/eV per cell
- Density: 6.33 g/cm³
- Space group: I4/mmm (139)
- Formation energy from the elements: 0.87 eV/atom

---

No. 20
Material: Ba2Tc
Method: DFT, PBEsol
State: relaxed

Geometry as POSCAR:
```
Ba2Tc
1.0
-2.390 2.273 -1.553
-2.736 0.194 4.493
3.865 3.463 -0.879
Ba Tc
2 1
direct
0.732 0.333 0.667
0.268 0.667 0.333
0.000 0.000 0.000
```

## Properties
- Fermi-level density of states: 4.4 states/eV per cell
- Density: 7.08 g/cm³
- Space group: P-3m1 (164)
- Formation energy from the elements: 1.04 eV/atom